The following is a GGA-PBE calculation of a relaxed structure of ScPa3N6, from Alexandria.

a = 5.646 Å, b = 7.209 Å, c = 7.209 Å
α = 101.81°, β = 90.00°, γ = 90.00°
Positions (direct):
N 0.274 0.025 0.975
N 0.185 0.416 0.896
N 0.190 0.355 0.328
N 0.690 0.328 0.355
N 0.774 0.975 0.025
N 0.625 0.222 0.778
N 0.685 0.584 0.104
N 0.685 0.896 0.416
N 0.185 0.104 0.584
N 0.690 0.645 0.672
N 0.125 0.778 0.222
N 0.190 0.672 0.645
Sc 0.987 0.163 0.837
Sc 0.487 0.837 0.163
Pa 0.967 0.686 0.916
Pa 0.916 0.607 0.393
Pa 0.416 0.393 0.607
Pa 0.467 0.314 0.084
Pa 0.967 0.084 0.314
Pa 0.467 0.916 0.686

**Total energy**: -10.176 eV per atom
**Raw formation energy**: -1699 meV per atom
**Calculated density**: 9.51 g/cm3

***

The following is a GGA-PBE calculation of a relaxed structure of ScPa6N12, from Alexandria.

a = 6.600 Å, b = 6.600 Å, c = 6.600 Å
α = 99.35°, β = 99.35°, γ = 99.35°
Positions (direct):
Sc 0.000 0.000 0.000
Pa 0.400 0.864 0.710
Pa 0.710 0.400 0.864
Pa 0.136 0.290 0.600
Pa 0.290 0.600 0.136
Pa 0.864 0.710 0.400
Pa 0.600 0.136 0.290
N 0.824 0.407 0.562
N 0.937 0.679 0.070
N 0.679 0.070 0.937
N 0.438 0.176 0.593
N 0.176 0.593 0.438
N 0.562 0.824 0.407
N 0.407 0.562 0.824
N 0.593 0.438 0.176
N 0.063 0.321 0.930
N 0.070 0.937 0.679
N 0.321 0.930 0.063
N 0.930 0.063 0.321

**Total energy**: -10.065 eV per atom
**Raw formation energy**: -1475 meV per atom
**Calculated density**: 9.67 g/cm3

***

The following is a GGA-PBE calculation of a relaxed structure of Sc3PaN, from Alexandria.

a = 4.569 Å, b = 4.569 Å, c = 4.569 Å
α = 90.00°, β = 90.00°, γ = 90.00°
Positions (direct):
Sc 0.000 0.000 0.500
Sc 0.500 0.000 0.000
Sc 0.000 0.500 0.000
Pa 0.500 0.500 0.500
N 0.000 0.000 0.000

**Total energy**: -7.704 eV per atom
**Raw formation energy**: -341 meV per atom
**Calculated density**: 6.61 g/cm3

***

The following is a GGA-PBE calculation of a relaxed structure of ScPa3N6, from Alexandria.

a = 3.622 Å, b = 6.778 Å, c = 6.778 Å
α = 109.51°, β = 90.00°, γ = 90.00°
Positions (direct):
N 0.500 0.640 0.360
N 0.000 0.931 0.669
N 0.000 0.331 0.069
N 0.500 0.360 0.640
N 0.000 0.669 0.931
N 0.000 0.069 0.331
Sc 0.000 0.500 0.500
Pa 0.500 0.500 0.000
Pa 0.000 0.000 0.000
Pa 0.500 0.000 0.500

**Total energy**: -9.794 eV per atom
**Raw formation energy**: -1316 meV per atom
**Calculated density**: 8.70 g/cm3

***

Q: The highest total energy belongs to which entry?
A: Sc3PaN

***

Q: Among the records above, which one has the highest total energy?
A: Sc3PaN